Record 1
{
  "formula": "ErMnAl",
  "functional": "meta-GGA SCAN",
  "state": "single point on PBEsol structure",
  "lattice": [[5.296, 0.017, -0.003], [-2.550, 4.642, 0.003], [2.616, 1.597, 4.320]],
  "species": ["Er", "Er", "Mn", "Mn", "Al", "Al"],
  "frac_coords": [[0.250, 0.367, 0.883], [0.750, 0.633, 0.117], [0.000, 0.000, 0.500], [0.500, 0.000, 0.000], [0.500, 0.000, 0.500], [0.000, 0.500, 0.500]],
  "n_ef_per_ev_atom": 0.811,
  "sg": "Imma",
  "ef_kj_per_mol_atoms": -42
}

=====

Record 2
{
  "formula": "Er6Al43Mo4",
  "functional": "meta-GGA SCAN",
  "state": "single point on PBEsol structure",
  "lattice": [[-6.664, 1.152, -8.537], [-4.122, -0.952, 10.036], [0.587, 17.444, 1.896]],
  "species": ["Er", "Er", "Er", "Er", "Er", "Er", "Er", "Er", "Er", "Er", "Er", "Er", "Al", "Al", "Al", "Al", "Al", "Al", "Al", "Al", "Al", "Al", "Al", "Al", "Al", "Al", "Al", "Al", "Al", "Al", "Al", "Al", "Al", "Al", "Al", "Al", "Al", "Al", "Al", "Al", "Al", "Al", "Al", "Al", "Al", "Al", "Al", "Al", "Al", "Al", "Al", "Al", "Al", "Al", "Al", "Al", "Al", "Al", "Al", "Al", "Al", "Al", "Al", "Al", "Al", "Al", "Al", "Al", "Al", "Al", "Al", "Al", "Al", "Al", "Al", "Al", "Al", "Al", "Al", "Al", "Al", "Al", "Al", "Al", "Al", "Al", "Al", "Al", "Al", "Al", "Al", "Al", "Al", "Al", "Al", "Al", "Al", "Al", "Mo", "Mo", "Mo", "Mo", "Mo", "Mo", "Mo", "Mo"],
  "frac_coords": [[0.532, 0.532, 0.595], [0.000, 0.468, 0.595], [0.468, 0.000, 0.595], [0.468, 0.468, 0.405], [0.000, 0.532, 0.405], [0.532, 0.000, 0.405], [0.468, 0.468, 0.095], [0.000, 0.532, 0.095], [0.532, 0.000, 0.095], [0.532, 0.532, 0.905], [0.000, 0.468, 0.905], [0.468, 0.000, 0.905], [0.763, 0.157, 0.663], [0.394, 0.237, 0.663], [0.843, 0.606, 0.663], [0.157, 0.763, 0.663], [0.237, 0.394, 0.663], [0.606, 0.843, 0.663], [0.237, 0.843, 0.337], [0.606, 0.763, 0.337], [0.157, 0.394, 0.337], [0.843, 0.237, 0.337], [0.763, 0.606, 0.337], [0.394, 0.157, 0.337], [0.237, 0.843, 0.163], [0.606, 0.763, 0.163], [0.157, 0.394, 0.163], [0.843, 0.237, 0.163], [0.763, 0.606, 0.163], [0.394, 0.157, 0.163], [0.763, 0.157, 0.837], [0.394, 0.237, 0.837], [0.843, 0.606, 0.837], [0.157, 0.763, 0.837], [0.237, 0.394, 0.837], [0.606, 0.843, 0.837], [0.159, 0.159, 0.115], [0.000, 0.841, 0.115], [0.841, 0.000, 0.115], [0.841, 0.841, 0.885], [0.000, 0.159, 0.885], [0.159, 0.000, 0.885], [0.841, 0.841, 0.615], [0.000, 0.159, 0.615], [0.159, 0.000, 0.615], [0.159, 0.159, 0.385], [0.000, 0.841, 0.385], [0.841, 0.000, 0.385], [0.254, 0.254, 0.530], [0.000, 0.746, 0.530], [0.746, 0.000, 0.530], [0.746, 0.746, 0.470], [0.000, 0.254, 0.470], [0.254, 0.000, 0.470], [0.746, 0.746, 0.030], [0.000, 0.254, 0.030], [0.254, 0.000, 0.030], [0.254, 0.254, 0.970], [0.000, 0.746, 0.970], [0.746, 0.000, 0.970], [0.551, 0.148, 0.750], [0.596, 0.449, 0.750], [0.852, 0.404, 0.750], [0.148, 0.551, 0.750], [0.449, 0.596, 0.750], [0.404, 0.852, 0.750], [0.449, 0.852, 0.250], [0.404, 0.551, 0.250], [0.148, 0.596, 0.250], [0.852, 0.449, 0.250], [0.551, 0.404, 0.250], [0.596, 0.148, 0.250], [0.753, 0.247, 0.500], [0.494, 0.247, 0.500], [0.753, 0.506, 0.500], [0.247, 0.753, 0.500], [0.247, 0.494, 0.500], [0.506, 0.753, 0.500], [0.247, 0.753, 0.000], [0.506, 0.753, 0.000], [0.247, 0.494, 0.000], [0.753, 0.247, 0.000], [0.753, 0.506, 0.000], [0.494, 0.247, 0.000], [0.667, 0.333, 0.625], [0.333, 0.667, 0.625], [0.333, 0.667, 0.375], [0.667, 0.333, 0.375], [0.333, 0.667, 0.125], [0.667, 0.333, 0.125], [0.667, 0.333, 0.875], [0.333, 0.667, 0.875], [0.147, 0.147, 0.750], [0.000, 0.853, 0.750], [0.853, 0.000, 0.750], [0.853, 0.853, 0.250], [0.000, 0.147, 0.250], [0.147, 0.000, 0.250], [0.728, 0.728, 0.750], [0.000, 0.272, 0.750], [0.272, 0.000, 0.750], [0.272, 0.272, 0.250], [0.000, 0.728, 0.250], [0.728, 0.000, 0.250], [0.000, 0.000, 0.500], [0.000, 0.000, 0.000]],
  "n_ef_per_ev_atom": 0.370,
  "sg": "P6_3/mcm",
  "ef_kj_per_mol_atoms": -32
}

=====

Record 3
{
  "formula": "Er3AlN",
  "functional": "meta-GGA SCAN",
  "state": "single point on PBEsol structure",
  "lattice": [[-2.309, -3.233, 2.430], [4.043, -1.750, 1.512], [-0.136, 2.859, 3.674]],
  "species": ["Er", "Er", "Er", "Al", "N"],
  "frac_coords": [[0.000, 0.500, 0.500], [0.500, 0.000, 0.500], [0.500, 0.500, 0.000], [0.000, 0.000, 0.000], [0.500, 0.500, 0.500]],
  "n_ef_per_ev_atom": 0.333,
  "sg": "Pm-3m",
  "formation_energy_uncorrected_mev_per_atom": -1089
}

=====

Record 4
{
  "formula": "ErAl4Ni",
  "functional": "meta-GGA SCAN",
  "state": "single point on PBEsol structure",
  "lattice": [[4.018, 0.000, 0.000], [0.000, 6.544, 0.000], [-2.009, 0.000, 7.590]],
  "species": ["Ni", "Ni", "Al", "Al", "Al", "Al", "Al", "Al", "Al", "Al", "Er", "Er"],
  "frac_coords": [[0.273, 0.250, 0.547], [0.727, 0.750, 0.453], [0.812, 0.052, 0.624], [0.188, 0.948, 0.376], [0.188, 0.552, 0.376], [0.812, 0.448, 0.624], [0.000, 0.500, 0.000], [0.000, 0.000, 0.000], [0.425, 0.250, 0.850], [0.575, 0.750, 0.150], [0.381, 0.750, 0.762], [0.619, 0.250, 0.238]],
  "n_ef_per_ev_atom": 0.335,
  "sg": "Cmcm",
  "ef_kj_per_mol_atoms": -58
}

=====

Record 5
{
  "formula": "Er2AlNi2",
  "functional": "meta-GGA SCAN",
  "state": "single point on PBEsol structure",
  "lattice": [[-2.804, 2.575, 1.597], [-4.320, -2.442, 1.687], [-0.745, -0.691, 5.142]],
  "species": ["Ni", "Ni", "Al", "Er", "Er"],
  "frac_coords": [[0.500, 0.266, 0.734], [0.500, 0.734, 0.266], [0.000, 0.000, 0.000], [0.798, 0.702, 0.702], [0.202, 0.298, 0.298]],
  "n_ef_per_ev_atom": 0.575,
  "sg": "Immm",
  "ef_kj_per_mol_atoms": -60
}

=====

Record 6
{
  "formula": "Er3Al2Ni6",
  "functional": "meta-GGA SCAN",
  "state": "single point on PBEsol structure",
  "lattice": [[-7.025, 2.720, 0.688], [1.459, -1.400, -7.289], [0.623, -6.407, 3.972]],
  "species": ["Er", "Er", "Er", "Er", "Er", "Er", "Al", "Al", "Al", "Al", "Ni", "Ni", "Ni", "Ni", "Ni", "Ni", "Ni", "Ni", "Ni", "Ni", "Ni", "Ni"],
  "frac_coords": [[0.708, 0.708, 0.000], [0.292, 0.292, 0.000], [0.708, 0.000, 0.708], [0.292, 0.000, 0.292], [0.000, 0.708, 0.708], [0.000, 0.292, 0.292], [0.500, 0.000, 0.000], [0.000, 0.500, 0.000], [0.500, 0.500, 0.500], [0.000, 0.000, 0.500], [0.337, 0.674, 0.337], [0.663, 0.337, 0.000], [0.326, 0.663, 0.663], [0.000, 0.663, 0.337], [0.000, 0.337, 0.663], [0.663, 0.000, 0.337], [0.337, 0.663, 0.000], [0.337, 0.000, 0.663], [0.674, 0.337, 0.337], [0.337, 0.337, 0.674], [0.663, 0.326, 0.663], [0.663, 0.663, 0.326]],
  "n_ef_per_ev_atom": 0.506,
  "sg": "Im-3m",
  "ef_kj_per_mol_atoms": -61
}

=====

Record 7
{
  "formula": "Er3AlNi8",
  "functional": "meta-GGA SCAN",
  "state": "single point on PBEsol structure",
  "lattice": [[4.953, 0.000, 0.000], [-2.477, 4.289, 0.000], [0.000, 0.000, 15.732]],
  "species": ["Er", "Er", "Er", "Er", "Er", "Er", "Al", "Al", "Ni", "Ni", "Ni", "Ni", "Ni", "Ni", "Ni", "Ni", "Ni", "Ni", "Ni", "Ni", "Ni", "Ni", "Ni", "Ni"],
  "frac_coords": [[0.333, 0.667, 0.546], [0.667, 0.333, 0.454], [0.667, 0.333, 0.046], [0.333, 0.667, 0.954], [0.333, 0.667, 0.750], [0.667, 0.333, 0.250], [0.000, 0.000, 0.000], [0.000, 0.000, 0.500], [0.169, 0.831, 0.125], [0.662, 0.831, 0.125], [0.169, 0.338, 0.125], [0.831, 0.169, 0.875], [0.338, 0.169, 0.875], [0.831, 0.662, 0.875], [0.831, 0.169, 0.625], [0.338, 0.169, 0.625], [0.831, 0.662, 0.625], [0.169, 0.831, 0.375], [0.662, 0.831, 0.375], [0.169, 0.338, 0.375], [0.333, 0.667, 0.250], [0.667, 0.333, 0.750], [0.000, 0.000, 0.250], [0.000, 0.000, 0.750]],
  "n_ef_per_ev_atom": 0.853,
  "sg": "P6_3/mmc",
  "ef_kj_per_mol_atoms": -46
}

=====

Record 8
{
  "formula": "ErAlO3",
  "functional": "meta-GGA SCAN",
  "state": "single point on PBEsol structure",
  "lattice": [[5.115, 0.000, 0.000], [0.000, 5.325, 0.000], [0.000, 0.000, 7.316]],
  "species": ["Er", "Er", "Er", "Er", "Al", "Al", "Al", "Al", "O", "O", "O", "O", "O", "O", "O", "O", "O", "O", "O", "O"],
  "frac_coords": [[0.015, 0.939, 0.750], [0.485, 0.439, 0.750], [0.515, 0.561, 0.250], [0.985, 0.061, 0.250], [0.000, 0.500, 0.000], [0.000, 0.500, 0.500], [0.500, 0.000, 0.000], [0.500, 0.000, 0.500], [0.093, 0.474, 0.250], [0.201, 0.202, 0.549], [0.201, 0.202, 0.951], [0.299, 0.702, 0.951], [0.299, 0.702, 0.549], [0.407, 0.974, 0.250], [0.593, 0.026, 0.750], [0.701, 0.298, 0.049], [0.701, 0.298, 0.451], [0.799, 0.798, 0.049], [0.799, 0.798, 0.451], [0.907, 0.526, 0.750]],
  "n_ef_per_ev_atom": 0.000,
  "sg": "Pnma",
  "formation_energy_uncorrected_mev_per_atom": -3725
}

=====

Record 9
{
  "formula": "ErAlO3",
  "functional": "meta-GGA SCAN",
  "state": "single point on PBEsol structure",
  "lattice": [[3.409, 0.000, 0.000], [-1.704, 2.952, 0.000], [0.000, 0.000, 11.351]],
  "species": ["Al", "Al", "O", "O", "O", "O", "O", "O", "Er", "Er"],
  "frac_coords": [[0.333, 0.667, 0.250], [0.667, 0.333, 0.750], [0.333, 0.667, 0.410], [0.333, 0.667, 0.090], [0.000, 0.000, 0.250], [0.000, 0.000, 0.750], [0.667, 0.333, 0.590], [0.667, 0.333, 0.910], [0.000, 0.000, 0.500], [0.000, 0.000, 0.000]],
  "n_ef_per_ev_atom": 0.000,
  "sg": "P6_3/mmc",
  "formation_energy_uncorrected_mev_per_atom": -3627
}

=====

Record 10
{
  "formula": "Er3Al5O12",
  "functional": "meta-GGA SCAN",
  "state": "single point on PBEsol structure",
  "lattice": [[-2.801, 2.376, 9.650], [-8.435, -1.244, -5.825], [5.464, -8.762, 0.061]],
  "species": ["Er", "Er", "Er", "Er", "Er", "Er", "Er", "Er", "Er", "Er", "Er", "Er", "Al", "Al", "Al", "Al", "Al", "Al", "Al", "Al", "Al", "Al", "Al", "Al", "Al", "Al", "Al", "Al", "Al", "Al", "Al", "Al", "O", "O", "O", "O", "O", "O", "O", "O", "O", "O", "O", "O", "O", "O", "O", "O", "O", "O", "O", "O", "O", "O", "O", "O", "O", "O", "O", "O", "O", "O", "O", "O", "O", "O", "O", "O", "O", "O", "O", "O", "O", "O", "O", "O", "O", "O", "O", "O"],
  "frac_coords": [[0.125, 0.750, 0.875], [0.125, 0.375, 0.750], [0.375, 0.125, 0.250], [0.750, 0.375, 0.625], [0.250, 0.125, 0.875], [0.375, 0.250, 0.625], [0.875, 0.250, 0.125], [0.875, 0.625, 0.250], [0.625, 0.875, 0.750], [0.250, 0.625, 0.375], [0.750, 0.875, 0.125], [0.625, 0.750, 0.375], [0.875, 0.750, 0.625], [0.125, 0.250, 0.375], [0.250, 0.875, 0.625], [0.875, 0.125, 0.750], [0.750, 0.625, 0.875], [0.625, 0.375, 0.250], [0.625, 0.250, 0.875], [0.125, 0.875, 0.250], [0.375, 0.625, 0.750], [0.250, 0.375, 0.125], [0.750, 0.125, 0.375], [0.375, 0.750, 0.125], [0.500, 0.000, 0.500], [0.000, 0.000, 0.500], [0.500, 0.000, 0.000], [0.000, 0.500, 0.000], [0.000, 0.000, 0.000], [0.000, 0.500, 0.500], [0.500, 0.500, 0.000], [0.500, 0.500, 0.500], [0.120, 0.202, 0.523], [0.918, 0.321, 0.798], [0.298, 0.918, 0.821], [0.321, 0.298, 0.418], [0.477, 0.298, 0.880], [0.582, 0.380, 0.403], [0.918, 0.597, 0.620], [0.597, 0.477, 0.679], [0.023, 0.903, 0.821], [0.321, 0.023, 0.403], [0.597, 0.120, 0.418], [0.903, 0.321, 0.523], [0.380, 0.477, 0.798], [0.298, 0.380, 0.977], [0.120, 0.918, 0.097], [0.202, 0.179, 0.082], [0.179, 0.582, 0.702], [0.380, 0.903, 0.082], [0.179, 0.597, 0.977], [0.977, 0.097, 0.179], [0.023, 0.120, 0.702], [0.903, 0.582, 0.880], [0.202, 0.023, 0.620], [0.582, 0.202, 0.679], [0.880, 0.798, 0.477], [0.082, 0.679, 0.202], [0.702, 0.082, 0.179], [0.679, 0.702, 0.582], [0.523, 0.702, 0.120], [0.418, 0.620, 0.597], [0.082, 0.403, 0.380], [0.403, 0.523, 0.321], [0.418, 0.798, 0.321], [0.798, 0.977, 0.380], [0.097, 0.418, 0.120], [0.523, 0.821, 0.903], [0.977, 0.880, 0.298], [0.821, 0.403, 0.023], [0.620, 0.097, 0.918], [0.821, 0.418, 0.298], [0.798, 0.821, 0.918], [0.880, 0.082, 0.903], [0.702, 0.620, 0.023], [0.620, 0.523, 0.202], [0.097, 0.679, 0.477], [0.403, 0.880, 0.582], [0.679, 0.977, 0.597], [0.477, 0.179, 0.097]],
  "n_ef_per_ev_atom": 0.000,
  "sg": "Ia-3d",
  "formation_energy_uncorrected_mev_per_atom": -3652
}